# 1
## RbZnAgTe2 (GGA-PBE)

Data for an optimized crystal structure of RbZnAgTe2.

a = 6.4083 Å, b = 14.9788 Å, c = 7.2600 Å
α = 90.00°, β = 90.00°, γ = 90.00°
Last column: nearest neighbours and their distance in Å.
Space group Cmme (No. 67)
Symmetry-distinct sites (fractional):
1 Rb 0.0000 0.2500 0.2424  6 Te 3.86-3.90, 2 Ag 4.19
2 Zn 0.2500 0.0000 0.0000  4 Te 2.72
3 Ag 0.0000 0.0000 0.5000  2 Te 2.67
4 Te 0.0000 0.1072 0.7931  1 Ag 2.67, 2 Zn 2.72

Values from the calculation:
The density of states at the Fermi level is 0.00 states/eV/f.u. The formation energy without anion corrections comes out at -537 meV per atom. The crystal system is orthorhombic. As for the total moment: 0.0 Bohr magnetons per cell.

# 2
## Rb2ZrAgTe4 (GGA-PBE)

Data for an optimized crystal structure of Rb2ZrAgTe4.

a = 6.5429 Å, b = 14.4163 Å, c = 27.6746 Å
α = 90.00°, β = 90.00°, γ = 90.00°
Last column: nearest neighbours and their distance in Å.
Space group Fddd (No. 70, origin choice 2)
Symmetry-distinct sites (fractional):
1 Rb 0.1250 0.1250 0.3038  8 Te 3.79-4.10
2 Zr 0.1250 0.1250 0.1250  4 Te 2.76
3 Ag 0.1250 0.1250 0.6250  4 Te 2.84
4 Te 0.1144 0.2638 0.4330  1 Zr 2.76, 1 Ag 2.84

Values from the calculation:
The density of states at the Fermi level is 7.93 states/eV/f.u. The formation energy without anion corrections comes out at -731 meV per atom. The crystal system is orthorhombic. As for the total moment: 0.0 Bohr magnetons per cell.

# 3
## RbZrAgTe4 (GGA-PBE)

Data for an optimized crystal structure of RbZrAgTe4.

a = 7.6074 Å, b = 6.1586 Å, c = 10.5360 Å
α = 90.00°, β = 110.01°, γ = 90.00°
Last column: nearest neighbours and their distance in Å.
Space group P2_1/m (No. 11)
Symmetry-distinct sites (fractional):
1 Rb 0.1688 0.2500 0.4512  6 Te 3.61-4.02, 2 Ag 4.01
2 Zr 0.2812 0.7500 0.0622  6 Te 2.92-3.11, 1 Ag 3.18
3 Ag 0.0315 0.2500 0.8010  4 Te 2.67-2.85
4 Te 0.1345 0.2500 0.0826  1 Ag 2.80, 1 Zr 3.00
5 Te 0.3306 0.7500 0.3492  1 Ag 2.67, 1 Zr 2.92
6 Te 0.3494 0.5131 0.8229  1 Ag 2.85, 1 Te 2.92, 2 Zr 3.11

Values from the calculation:
The density of states at the Fermi level is 4.58 states/eV/f.u. The formation energy without anion corrections comes out at -565 meV per atom. The crystal system is monoclinic. As for the total moment: 0.0 Bohr magnetons per cell.

# 4
## RbTiAg2 (GGA-PBE)

Data for an optimized crystal structure of RbTiAg2.

a = 8.2228 Å, b = 8.2228 Å, c = 7.2184 Å
α = 90.00°, β = 90.00°, γ = 90.00°
Last column: nearest neighbours and their distance in Å.
Space group I-42d (No. 122)
Symmetry-distinct sites (fractional):
1 Rb 0.0000 0.0000 0.0000  8 Ag 3.43-3.72, 2 Ti 3.61
2 Ti 0.0000 0.0000 0.5000  4 Ag 2.71
3 Ag 0.1841 0.2500 0.6250  2 Ti 2.71

Values from the calculation:
The density of states at the Fermi level is 3.91 states/eV/f.u. The calculation puts the formation energy at 0.74 eV/atom. As for the distance to the lowest polymorph of the same formula: 0.0000 eV/atom. The crystal system is tetragonal. As for the total moment: 10.8 Bohr magnetons per cell.

Q: Number 3 is which compound?
A: RbZrAgTe4

Q: The highest total moment belongs to which entry?
A: RbTiAg2